(1)
{"formula": "YSi2Au", "functional": "PBE", "state": "relaxed", "crystal_system": "monoclinic", "cell": [[-3.3840, 0.5733, -2.1669], [1.4644, -2.2145, -2.8729], [-2.1136, -4.2177, 2.1850]], "species": ["Si", "Y", "Au", "Si"], "frac_coords": [[0.0000, 0.7482, 0.0251], [0.5000, 0.2500, 0.2500], [0.5000, 0.7500, 0.7500], [0.0000, 0.7518, 0.4749]]}

(2)
{"formula": "YSi2Au", "functional": "PBE", "state": "relaxed", "crystal_system": "trigonal", "cell": [[-4.8665, 0.3112, -2.7801], [-1.7755, -1.1700, -5.1950], [-3.5704, -3.6508, -2.3308]], "species": ["Au", "Si", "Si", "Y"], "frac_coords": [[0.7500, 0.7500, 0.7500], [0.0273, 0.0273, 0.0273], [0.4727, 0.4727, 0.4727], [0.2500, 0.2500, 0.2500]]}

(3)
{"formula": "YSi2Au", "functional": "PBE", "state": "relaxed", "crystal_system": "orthorhombic", "cell": [[4.1102, -0.0019, -0.0046], [-1.9895, 5.3292, 0.0039], [0.1313, 1.5825, 3.7910]], "species": ["Si", "Au", "Si", "Y"], "frac_coords": [[0.5000, 0.0000, 0.5000], [0.5000, 0.5000, 0.0000], [0.0000, 0.0000, 0.0000], [0.0000, 0.5000, 0.5000]]}

(4)
{"formula": "YSiAu", "functional": "PBE", "state": "relaxed", "crystal_system": "tetragonal", "cell": [[-1.4923, 1.8746, -3.2911], [-8.0336, 0.6872, 1.5063], [1.5794, 3.5235, 1.2923]], "species": ["Si", "Au", "Y", "Y", "Si", "Au"], "frac_coords": [[0.4342, 0.6858, 0.0624], [0.1724, 0.2106, 0.8251], [0.0104, 0.5345, 0.4871], [0.7603, 0.0345, 0.2369], [0.5857, 0.3833, 0.9111], [0.3483, 0.8583, 0.6490]]}

(5)
{"formula": "Y2Si3Au5", "functional": "PBE", "state": "relaxed", "crystal_system": "orthorhombic", "cell": [[-0.2150, 4.2907, 0.8257], [-4.3564, 0.8461, -5.5311], [-9.5342, -4.0344, 6.8922]], "species": ["Au", "Y", "Si", "Au", "Si", "Au", "Si", "Au", "Si", "Y", "Au", "Au", "Y", "Au", "Au", "Au", "Si", "Si", "Au", "Y"], "frac_coords": [[0.2825, 0.5091, 0.5649], [0.8256, 0.2386, 0.6512], [0.9525, 0.4674, 0.9051], [0.8765, 0.7182, 0.7530], [0.3948, 0.0646, 0.7897], [0.3996, 0.4222, 0.7993], [0.6052, 0.5646, 0.2103], [0.1235, 0.2182, 0.2470], [0.7706, 0.7048, 0.5412], [0.4802, 0.7607, 0.9603], [0.6959, 0.4138, 0.3918], [0.6004, 0.9222, 0.2007], [0.5198, 0.2607, 0.0397], [0.0527, 0.5655, 0.1053], [0.9473, 0.0655, 0.8947], [0.3041, 0.9138, 0.6082], [0.2294, 0.2048, 0.4588], [0.0475, 0.9674, 0.0949], [0.7175, 0.0091, 0.4351], [0.1744, 0.7386, 0.3488]]}

(6)
{"formula": "YSiAu4", "functional": "PBE", "state": "relaxed", "crystal_system": "cubic", "cell": [[0.0401, -5.4667, -1.0139], [-0.1509, -3.6121, 4.2242], [-4.5737, -3.0290, 0.9057]], "species": ["Au", "Au", "Si", "Au", "Au", "Y"], "frac_coords": [[0.3751, 0.3751, 0.3751], [0.3751, 0.8747, 0.3751], [0.7500, 0.7500, 0.7500], [0.8747, 0.3751, 0.3751], [0.3751, 0.3751, 0.8747], [0.0000, 0.0000, 0.0000]]}

(7)
{"formula": "YSi2Au2", "functional": "PBE", "state": "relaxed", "crystal_system": "tetragonal", "cell": [[7.5413, 0.0000, 0.0000], [0.0000, 7.5413, 0.0000], [0.0000, 0.0000, 3.3060]], "species": ["Au", "Au", "Si", "Si", "Y", "Si", "Au", "Au", "Y", "Si"], "frac_coords": [[0.8428, 0.3428, 0.5000], [0.6572, 0.8428, 0.5000], [0.1377, 0.3623, 0.0000], [0.8623, 0.6377, 0.0000], [0.5000, 0.5000, 0.0000], [0.6377, 0.1377, 0.0000], [0.1572, 0.6572, 0.5000], [0.3428, 0.1572, 0.5000], [0.0000, 0.0000, 0.0000], [0.3623, 0.8623, 0.0000]]}

(8)
{"formula": "YSi2Au", "functional": "PBE", "state": "relaxed", "crystal_system": "orthorhombic", "cell": [[3.6183, 0.0017, 0.0000], [-1.1236, 3.4394, 0.0000], [0.0000, 0.0000, 6.5146]], "species": ["Y", "Si", "Si", "Au"], "frac_coords": [[0.5000, 0.5000, 0.2500], [0.0000, 0.0000, 0.5429], [0.0000, 0.0000, 0.9571], [0.5000, 0.5000, 0.7500]]}

(9)
{"formula": "YSi2Au2", "functional": "PBE", "state": "relaxed", "crystal_system": "tetragonal", "cell": [[7.5800, 0.0000, 0.0000], [0.0000, 7.5800, 0.0000], [0.0000, 0.0000, 3.4026]], "species": ["Si", "Au", "Y", "Au", "Si", "Au", "Y", "Si", "Au", "Si"], "frac_coords": [[0.6867, 0.8133, 0.5000], [0.1274, 0.3726, 0.0000], [0.5000, 0.5000, 0.0000], [0.3726, 0.8726, 0.0000], [0.8133, 0.3133, 0.5000], [0.6274, 0.1274, 0.0000], [0.0000, 0.0000, 0.0000], [0.1867, 0.6867, 0.5000], [0.8726, 0.6274, 0.0000], [0.3133, 0.1867, 0.5000]]}

(10)
{"formula": "YSiAu", "functional": "PBE", "state": "relaxed", "crystal_system": "tetragonal", "cell": [[4.4758, 0.0000, 0.0000], [0.0000, 4.4758, 0.0000], [0.0000, 0.0000, 6.6353]], "species": ["Au", "Y", "Y", "Au", "Si", "Si"], "frac_coords": [[0.5000, 0.0000, 0.1877], [0.0000, 0.0000, 0.5000], [0.5000, 0.5000, 0.5000], [0.0000, 0.5000, 0.8123], [0.5000, 0.0000, 0.8146], [0.0000, 0.5000, 0.1854]]}

(11)
{"formula": "Y2ZrSiAu", "functional": "PBE", "state": "relaxed", "crystal_system": "tetragonal", "cell": [[-0.3190, 4.9931, 2.4076], [-2.8750, -1.7019, 3.1485], [4.3170, -1.2890, 3.2452]], "species": ["Y", "Au", "Si", "Zr", "Y"], "frac_coords": [[0.5000, 0.0000, 0.0000], [0.0000, 0.0000, 0.0000], [0.0000, 0.5000, 0.0000], [0.5000, 0.5000, 0.5000], [0.0000, 0.0000, 0.5000]]}

(12)
{"formula": "ZnSiAu", "functional": "PBE", "state": "relaxed", "crystal_system": "trigonal", "cell": [[3.1029, 0.0000, 0.0000], [-1.5515, 2.6872, 0.0000], [0.0000, 0.0000, 5.9519]], "species": ["Si", "Zn", "Au"], "frac_coords": [[0.6667, 0.3333, 0.3310], [0.3333, 0.6667, 0.6586], [0.0000, 0.0000, 0.0104]]}

Computed total DFT energy (no corrections), in the same sequence as the records: -5.6026 -5.5397 -5.2632 -5.8239 -5.1084 -4.3698 -4.9539 -5.3910 -4.9126 -5.2220 -5.7389 -3.2136 eV per atom.
Computed mass density, in the same sequence as the records: 6.9 7.4 6.8 8.2 10.9 12.4 9.5 7.0 9.2 7.8 5.8 9.7 Mg/m³.
Computed E_form (uncorrected), in the same sequence as the records: -0.4557 -0.3928 -0.1163 -0.7691 -0.5500 -0.2038 -0.1809 -0.2441 -0.1397 -0.1672 0.2965 0.1112 eV/atom.